#A
Density functional theory data (PBE) for a relaxed CuPb2Cl crystal.

Lattice parameters (Å, degrees): 5.1588 5.1588 5.1588 60.00 60.00 60.00
Last column: nearest neighbours and their distance in Å.
Positions (direct):
1 Cl 0.0000 0.0000 0.0000  8 Pb 3.16
2 Pb 0.7500 0.7500 0.7500  4 Cl 3.16, 4 Cu 3.16
3 Pb 0.2500 0.2500 0.2500  4 Cl 3.16, 4 Cu 3.16
4 Cu 0.5000 0.5000 0.5000  8 Pb 3.16

Magnetic moment (μB per cell): 0.0
Mass density (g/cm3): 8.78
N(E_F) (states/eV/cell): 3.0

***

#B
Density functional theory data (PBE) for a relaxed CuPb2Cl crystal.

Lattice parameters (Å, degrees): 5.6851 5.6851 5.6851 139.16 119.73 75.38
Last column: nearest neighbours and their distance in Å.
Positions (direct):
1 Cu 0.2500 0.7500 0.5000  4 Pb 2.83
2 Pb 0.4749 0.4749 0.0000  2 Cu 2.83, 2 Cl 3.17
3 Pb 0.0251 0.0251 0.0000  2 Cu 2.83, 2 Cl 3.17
4 Cl 0.7500 0.2500 0.5000  8 Pb 3.17-3.50, 4 Cu 3.48

Magnetic moment (μB per cell): 0.0
Mass density (g/cm3): 8.37
N(E_F) (states/eV/cell): 1.5

***

#C
Density functional theory data (PBE) for a relaxed CuPb2Cl crystal.

Lattice parameters (Å, degrees): 3.5897 3.5897 9.3702 90.00 90.00 121.19
Last column: nearest neighbours and their distance in Å.
Positions (direct):
1 Cu 0.5000 0.5000 0.7248  2 Cl 2.32
2 Pb 0.5000 0.5000 0.2612  2 Cl 3.34, 8 Pb 3.41-3.59
3 Pb 0.0000 0.0000 0.9496  2 Cu 2.75
4 Cl 0.0000 0.0000 0.5644  2 Cu 2.32

Magnetic moment (μB per cell): 0.0
Mass density (g/cm3): 8.25
N(E_F) (states/eV/cell): 1.8

***

#D
Density functional theory data (PBE) for a relaxed CuPb2Cl crystal.

Lattice parameters (Å, degrees): 7.6583 5.7423 3.2996 74.38 88.45 131.23
Last column: nearest neighbours and their distance in Å.
Positions (direct):
1 Cu 0.5000 0.5000 0.0000  4 Pb 2.90
2 Pb 0.5000 0.0000 0.5000  2 Cl 2.90, 2 Cu 2.90
3 Pb 0.0000 0.0000 0.0000  2 Cu 2.90, 2 Cl 2.90
4 Cl 0.0000 0.5000 0.5000  4 Pb 2.90

Magnetic moment (μB per cell): 0.0
Mass density (g/cm3): 8.46
N(E_F) (states/eV/cell): 0.9

***

Most stable of them? #C.

***

#A
Density functional theory data (PBE) for a relaxed Cu2PbCl crystal.

Lattice parameters (Å, degrees): 7.7432 7.7432 7.7432 153.73 155.03 36.56
Last column: nearest neighbours and their distance in Å.
Positions (direct):
1 Cl 0.2419 0.7419 0.5000  4 Cu 2.64
2 Cu 0.9246 0.9246 0.0000  2 Cu 2.42
3 Cu 0.8117 0.3117 0.5000  2 Cu 2.42, 4 Cl 2.64
4 Pb 0.5218 0.5218 0.0000  4 Cu 2.82

Magnetic moment (μB per cell): 0.0
Mass density (g/cm3): 7.09
N(E_F) (states/eV/cell): 1.2

***

#B
Density functional theory data (PBE) for a relaxed Cu2PbCl crystal.

Lattice parameters (Å, degrees): 4.7038 5.9048 3.3624 73.48 89.95 113.46
Last column: nearest neighbours and their distance in Å.
Positions (direct):
1 Cu 0.5000 0.0000 0.5000  4 Cu 2.89, 2 Pb 2.95, 2 Cl 2.95
2 Cu 0.0000 0.0000 0.0000  4 Cu 2.89, 2 Cl 2.95, 2 Pb 2.95
3 Pb 0.0000 0.5000 0.5000  4 Cl 2.89, 4 Cu 2.95
4 Cl 0.5000 0.5000 0.0000  4 Pb 2.89, 4 Cu 2.95

Magnetic moment (μB per cell): 0.0
Mass density (g/cm3): 7.54
N(E_F) (states/eV/cell): 1.0

***

#C
Density functional theory data (PBE) for a relaxed Cu2PbCl crystal.

Lattice parameters (Å, degrees): 3.3801 3.3234 7.4781 75.73 90.00 90.00
Last column: nearest neighbours and their distance in Å.
Positions (direct):
1 Cl 0.5000 0.8894 0.8267  2 Cu 2.32
2 Cu 0.5000 0.2223 0.1875  4 Cu 2.58
3 Cu 0.0000 0.7999 0.0458  2 Cl 2.32, 4 Cu 2.58
4 Pb 0.0000 0.5884 0.4401  5 Cu 2.86-3.01

Magnetic moment (μB per cell): 0.0
Mass density (g/cm3): 7.54
N(E_F) (states/eV/cell): 0.9

***

#D
Density functional theory data (PBE) for a relaxed Cu2PbCl crystal.

Lattice parameters (Å, degrees): 5.9799 5.9799 5.9799 142.19 142.19 54.54
Last column: nearest neighbours and their distance in Å.
Positions (direct):
1 Cl 0.7500 0.2500 0.5000  4 Cu 2.74
2 Cu 0.2500 0.7500 0.5000  4 Cl 2.74
3 Cu 0.0000 0.0000 0.0000  4 Pb 2.74
4 Pb 0.5000 0.5000 0.0000  4 Cu 2.74

Magnetic moment (μB per cell): 0.0
Mass density (g/cm3): 7.69
N(E_F) (states/eV/cell): 0.9

***

Most stable of them? #C.

***

#A
Density functional theory data (PBE) for a relaxed Cu2PbCl crystal.

Lattice parameters (Å, degrees): 3.3681 4.1436 6.1928 90.04 90.00 90.00
Last column: nearest neighbours and their distance in Å.
Positions (direct):
1 Pb 0.5000 0.2500 0.2500  8 Cu 2.94
2 Cu 0.0000 0.7509 0.4484  1 Cu 2.46, 2 Cl 2.51
3 Cu 0.0000 0.7491 0.0516  1 Cu 2.46, 2 Cl 2.51
4 Cl 0.5000 0.7500 0.7500  4 Cu 2.51

Magnetic moment (μB per cell): 0.0
Mass density (g/cm3): 7.10
N(E_F) (states/eV/cell): 1.4

***

#B
Density functional theory data (PBE) for a relaxed Cu2PbCl crystal.

Lattice parameters (Å, degrees): 3.2944 3.2944 7.0532 90.00 90.00 90.00
Last column: nearest neighbours and their distance in Å.
Positions (direct):
1 Cu 0.0000 0.0000 0.5164  4 Cl 2.85, 4 Pb 2.99
2 Cu 0.0000 0.0000 0.9836  4 Cl 2.85, 4 Pb 2.99
3 Pb 0.5000 0.5000 0.2500  8 Cu 2.99, 4 Pb 3.29
4 Cl 0.5000 0.5000 0.7500  8 Cu 2.85

Magnetic moment (μB per cell): 0.0
Mass density (g/cm3): 8.02
N(E_F) (states/eV/cell): 2.4

***

#C
Density functional theory data (PBE) for a relaxed Cu2PbCl crystal.

Lattice parameters (Å, degrees): 5.1260 5.1260 7.5431 52.51 52.51 36.27
Last column: nearest neighbours and their distance in Å.
Positions (direct):
1 Cl 0.2500 0.2500 0.2500  4 Cu 2.52
2 Cu 0.5586 0.5586 0.5836  2 Cl 2.52, 2 Cu 2.55
3 Cu 0.9414 0.9414 0.9164  2 Cl 2.52, 2 Cu 2.55
4 Pb 0.7500 0.7500 0.7500  6 Cu 2.84-2.89

Magnetic moment (μB per cell): 0.0
Mass density (g/cm3): 6.82
N(E_F) (states/eV/cell): 1.6

***

Most stable of them? #A.

***

#A
Density functional theory data (PBE) for a relaxed Cu2PbCl crystal.

Lattice parameters (Å, degrees): 4.8428 4.8428 3.5762 90.00 90.00 108.79
Last column: nearest neighbours and their distance in Å.
Positions (direct):
1 Cl 0.0000 0.5000 0.5000  2 Pb 2.82, 8 Cu 3.01
2 Cu 0.0000 0.0000 0.0000  2 Cu 2.82, 4 Cl 3.01, 4 Pb 3.01
3 Cu 0.5000 0.5000 0.0000  2 Cu 2.82, 4 Pb 3.01, 4 Cl 3.01
4 Pb 0.5000 0.0000 0.5000  2 Cl 2.82, 8 Cu 3.01

Magnetic moment (μB per cell): 0.0
Mass density (g/cm3): 7.73
N(E_F) (states/eV/cell): 1.4

***

#B
Density functional theory data (PBE) for a relaxed Cu2PbCl crystal.

Lattice parameters (Å, degrees): 4.8398 4.8398 4.8398 60.00 60.00 60.00
Last column: nearest neighbours and their distance in Å.
Positions (direct):
1 Pb 0.5000 0.5000 0.5000  8 Cu 2.96
2 Cl 0.0000 0.0000 0.0000  8 Cu 2.96
3 Cu 0.7500 0.7500 0.7500  4 Pb 2.96, 4 Cl 2.96
4 Cu 0.2500 0.2500 0.2500  4 Pb 2.96, 4 Cl 2.96

Magnetic moment (μB per cell): 0.0
Mass density (g/cm3): 7.66
N(E_F) (states/eV/cell): 4.3

***

Most stable of them? #A.